Record 1
Material: BP2ICl
Method: DFT, GGA-PBE
State: optimized geometry

abc: 4.4581 4.4581 4.3338
angles: 90.00 90.00 90.00
Last column: nearest neighbours and their distance in Å.
Fractional positions:
I 0.5000 0.5000 0.5000  8 P 3.11, 4 Cl 3.15
P 0.0000 0.5000 0.0000  2 B 2.23
P 0.5000 0.0000 0.0000  2 B 2.23
B 0.0000 0.0000 0.0000  2 Cl 2.17, 4 P 2.23
Cl 0.0000 0.0000 0.5000  2 B 2.17

Results
DOS at the Fermi energy = 3.037 states/eV/f.u.
Formation energy without anion corrections = 875 meV per atom
Excess energy over the best structure of this formula in the dataset = 0 meV/atom
Mass density = 4.53 g/cm3
SG = No. 123



Record 2
Material: B2PdICl
Method: DFT, GGA-PBE
State: optimized geometry

abc: 3.8652 4.8448 7.1933
angles: 99.66 88.41 93.92
Last column: nearest neighbours and their distance in Å.
Fractional positions:
Pd 0.2754 0.1036 0.7355  2 B 2.01-2.05
I 0.8046 0.4390 0.5832  1 B 2.28
B 0.5091 0.8931 0.9164  1 B 1.64, 1 Cl 1.74
B 0.8674 0.8496 0.7917  1 B 1.64
Cl 0.3796 0.8299 0.1404  1 B 1.74

Results
Formation energy without anion corrections = 91 meV per atom
Excess energy over the best structure of this formula in the dataset = 141 meV/atom
Mass density = 3.64 g/cm3
SG = No. 1